Entry 1:
SrCdAs2, optimized geometry, DFT GGA-PBE; M_tot = 0.000 Bohr magnetons per cell; energy of formation from the pure elements = -309 meV per atom; mass density = 5.971 g/cm3
1.0
-2.1801 2.1801 5.1181
2.1801 -2.1801 5.1181
2.1801 2.1801 -5.1181
Sr Cd As
1 1 2
Direct
0.0000 0.0000 0.0000
0.7500 0.2500 0.5000
0.2500 0.7500 0.5000
0.5000 0.5000 0.0000


Entry 2:
SrCd3As, optimized geometry, DFT GGA-PBE; M_tot = 0.000 Bohr magnetons per cell; energy of formation from the pure elements = 49 meV per atom; mass density = 5.250 g/cm3
1.0
5.4071 0.0000 0.0000
0.0000 5.4071 0.0000
0.0000 0.0000 5.4071
Sr Cd As
1 3 1
Direct
0.0000 0.0000 0.0000
0.0000 0.5000 0.5000
0.5000 0.0000 0.5000
0.5000 0.5000 0.0000
0.5000 0.5000 0.5000


Entry 3:
SrCdAs2, optimized geometry, DFT GGA-PBE; M_tot = 0.000 Bohr magnetons per cell; energy of formation from the pure elements = -428 meV per atom; mass density = 5.602 g/cm3
1.0
-4.0001 4.0001 3.2409
4.0001 -4.0001 3.2409
4.0001 4.0001 -3.2409
Sr Cd As
2 2 4
Direct
0.0000 0.0000 0.0000
0.7500 0.2500 0.5000
0.2500 0.7500 0.5000
0.5000 0.5000 0.0000
0.1671 0.6250 0.0421
0.3750 0.4171 0.5421
0.5829 0.1250 0.9579
0.8750 0.8329 0.4579


Entry 4:
Sr2CdAs, optimized geometry, DFT GGA-PBE; M_tot = 0.000 Bohr magnetons per cell; energy of formation from the pure elements = -617 meV per atom; mass density = 4.912 g/cm3
1.0
0.0000 3.9427 3.9427
3.9427 0.0000 3.9427
3.9427 3.9427 0.0000
Sr Cd As
2 1 1
Direct
0.2500 0.2500 0.2500
0.7500 0.7500 0.7500
0.0000 0.0000 0.0000
0.5000 0.5000 0.5000


Entry 5:
SrCd3As, optimized geometry, DFT GGA-PBE; M_tot = 1.539 Bohr magnetons per cell; energy of formation from the pure elements = 891 meV per atom; mass density = 3.237 g/cm3
1.0
6.3528 0.0000 0.0000
0.0000 6.3528 0.0000
0.0000 0.0000 6.3528
Sr Cd As
1 3 1
Direct
0.0000 0.0000 0.0000
0.0000 0.0000 0.5000
0.0000 0.5000 0.0000
0.5000 0.0000 0.0000
0.5000 0.5000 0.5000


Entry 6:
SrCdAs2, optimized geometry, DFT GGA-PBE; M_tot = 0.000 Bohr magnetons per cell; energy of formation from the pure elements = -652 meV per atom; mass density = 5.449 g/cm3
1.0
3.9413 -2.2695 0.0000
3.9413 2.2695 0.0000
-0.1349 0.0000 11.9211
Sr Cd As
2 2 4
Direct
0.0049 0.0049 0.3132
0.9951 0.9951 0.6868
0.3325 0.3325 0.9171
0.6675 0.6675 0.0829
0.3236 0.3236 0.5177
0.3358 0.3358 0.1570
0.6642 0.6642 0.8430
0.6764 0.6764 0.4823